(1)
An optimized crystal structure of La4Nd2SmDy. Source: Alexandria via LeMat-Bulk, functional PBE.

Properties
- Energy relative to the elements: 14 meV per atom
- V: 35.42 Å³ per atom
- Calculated total energy: -38.5 eV/cell

Cell: 5.233 5.270 10.275 Å, 90.00 90.08 90.00°
Positions (direct):
La (0.000, 0.000, 0.249)
La (0.000, 0.000, 0.751)
La (0.499, 0.500, 0.751)
La (0.501, 0.500, 0.249)
Nd (0.000, 0.500, 0.000)
Nd (0.500, 0.000, 0.500)
Sm (0.000, 0.500, 0.500)
Dy (0.500, 0.000, 0.000)

(2)
An optimized crystal structure of LaNd3SmDy. Source: Alexandria via LeMat-Bulk, functional PBE.

Properties
- Energy relative to the elements: 167 meV per atom
- V: 34.92 Å³ per atom
- Calculated total energy: -55.1 eV/cell

Cell: 10.751 10.751 6.921 Å, 90.99 90.99 31.59°
Positions (direct):
La (0.146, 0.146, 0.026)
La (0.854, 0.854, 0.974)
Nd (0.018, 0.018, 0.748)
Nd (0.281, 0.281, 0.740)
Nd (0.339, 0.339, 0.258)
Nd (0.661, 0.661, 0.742)
Nd (0.719, 0.719, 0.260)
Nd (0.982, 0.982, 0.252)
Sm (0.444, 0.444, 0.735)
Sm (0.556, 0.556, 0.265)
Dy (0.144, 0.144, 0.475)
Dy (0.856, 0.856, 0.525)

(3)
An optimized crystal structure of La2NdSm6Dy3. Source: Alexandria via LeMat-Bulk, functional PBE.

Properties
- Energy relative to the elements: 20 meV per atom
- V: 33.93 Å³ per atom
- Calculated total energy: -56.5 eV/cell

Cell: 6.297 6.297 12.047 Å, 95.01 95.01 120.03°
Positions (direct):
La (0.166, 0.834, 0.000)
La (0.834, 0.166, 0.000)
Nd (0.500, 0.500, 0.000)
Sm (0.082, 0.415, 0.745)
Sm (0.253, 0.253, 0.255)
Sm (0.415, 0.082, 0.745)
Sm (0.585, 0.918, 0.255)
Sm (0.747, 0.747, 0.745)
Sm (0.918, 0.585, 0.255)
Dy (0.000, 0.000, 0.500)
Dy (0.334, 0.666, 0.500)
Dy (0.666, 0.334, 0.500)

(4)
An optimized crystal structure of LaNd6SmDy2. Source: Alexandria via LeMat-Bulk, functional PBE.

Properties
- Energy relative to the elements: 113 meV per atom
- V: 34.97 Å³ per atom
- Calculated total energy: -92.7 eV/cell

Cell: 8.998 8.998 9.837 Å, 94.14 94.14 117.51°
Positions (direct):
La (0.094, 0.906, 0.750)
La (0.906, 0.094, 0.250)
Nd (0.010, 0.795, 0.379)
Nd (0.066, 0.519, 0.181)
Nd (0.205, 0.990, 0.121)
Nd (0.258, 0.611, 0.556)
Nd (0.389, 0.742, 0.944)
Nd (0.481, 0.934, 0.319)
Nd (0.519, 0.066, 0.681)
Nd (0.611, 0.258, 0.056)
Nd (0.742, 0.389, 0.444)
Nd (0.795, 0.010, 0.879)
Nd (0.934, 0.481, 0.819)
Nd (0.990, 0.205, 0.621)
Sm (0.470, 0.530, 0.250)
Sm (0.530, 0.470, 0.750)
Dy (0.208, 0.305, 0.954)
Dy (0.305, 0.208, 0.454)
Dy (0.695, 0.792, 0.546)
Dy (0.792, 0.695, 0.046)